# 1
# TmU6S8

Crystalline TmU6S8 at its relaxed geometry (GGA-PBE, Alexandria via LeMat-Bulk).

The value obtained for the energy above the most stable polymorph in this dataset is 238.1 meV/atom. For the density of states at the Fermi level, the calculation gives 23.4 states/eV per cell. The crystal system is trigonal. Its space group is R-3 (148).

Unit cell a=7.0930 b=7.0930 c=7.0930 alpha=72.54 beta=72.54 gamma=72.54
Closest atoms and distances in Å follow each position.
Atoms (fractional coordinates):
Tm: 0.0000 0.0000 0.0000  6 S 2.67
U: 0.5283 0.3580 0.9220  1 U 2.46, 3 S 2.72-2.74
U: 0.3580 0.9220 0.5283  1 U 2.46, 3 S 2.72-2.74
U: 0.9220 0.5283 0.3580  1 U 2.46, 3 S 2.72-2.74
U: 0.4717 0.6420 0.0780  1 U 2.46, 3 S 2.72-2.74
U: 0.6420 0.0780 0.4717  1 U 2.46, 3 S 2.72-2.74
U: 0.0780 0.4717 0.6420  1 U 2.46, 3 S 2.72-2.74
S: 0.6822 0.6822 0.6822  6 U 2.72-2.73
S: 0.3178 0.3178 0.3178  6 U 2.72-2.73
S: 0.6533 0.8796 0.1749  1 Tm 2.67, 4 U 2.74-2.87
S: 0.8796 0.1749 0.6533  1 Tm 2.67, 4 U 2.74-2.87
S: 0.1749 0.6533 0.8796  1 Tm 2.67, 4 U 2.74-2.87
S: 0.3467 0.1204 0.8251  1 Tm 2.67, 4 U 2.74-2.87
S: 0.1204 0.8251 0.3467  1 Tm 2.67, 4 U 2.74-2.87
S: 0.8251 0.3467 0.1204  1 Tm 2.67, 4 U 2.74-2.87

# 2
# Tm6US12

Crystalline Tm6US12 at its relaxed geometry (GGA-PBE, Alexandria via LeMat-Bulk).

The crystal system is trigonal. Its space group is R-3 (148).

Unit cell a=7.7778 b=7.7778 c=7.7778 alpha=98.99 beta=98.99 gamma=98.99
Closest atoms and distances in Å follow each position.
Atoms (fractional coordinates):
Tm: 0.1453 0.3311 0.6300  6 S 2.65-2.83
Tm: 0.6689 0.3700 0.8547  6 S 2.65-2.83
Tm: 0.3700 0.8547 0.6689  6 S 2.65-2.83
Tm: 0.8547 0.6689 0.3700  6 S 2.65-2.83
Tm: 0.3311 0.6300 0.1453  6 S 2.65-2.83
Tm: 0.6300 0.1453 0.3311  6 S 2.65-2.83
U: 0.0000 0.0000 0.0000  6 S 2.55
S: 0.4179 0.1767 0.5802  4 Tm 2.65-2.74
S: 0.1767 0.5802 0.4179  4 Tm 2.65-2.74
S: 0.5802 0.4179 0.1767  4 Tm 2.65-2.74
S: 0.5821 0.8233 0.4198  4 Tm 2.65-2.74
S: 0.8233 0.4198 0.5821  4 Tm 2.65-2.74
S: 0.4198 0.5821 0.8233  4 Tm 2.65-2.74
S: 0.0326 0.9151 0.6775  1 U 2.55, 2 Tm 2.75-2.83
S: 0.3225 0.9674 0.0849  1 U 2.55, 2 Tm 2.75-2.83
S: 0.0849 0.3225 0.9674  1 U 2.55, 2 Tm 2.75-2.83
S: 0.9674 0.0849 0.3225  1 U 2.55, 2 Tm 2.75-2.83
S: 0.6775 0.0326 0.9151  1 U 2.55, 2 Tm 2.75-2.83
S: 0.9151 0.6775 0.0326  1 U 2.55, 2 Tm 2.75-2.83

# 3
# TmU2S3

Crystalline TmU2S3 at its relaxed geometry (GGA-PBE, Alexandria via LeMat-Bulk).

For the density of states at the Fermi level, the calculation gives 43.5 states/eV per cell. The crystal system is monoclinic. Its space group is P2_1/c (14).

Unit cell a=5.4530 b=7.6893 c=11.5814 alpha=90.00 beta=90.00 gamma=89.90
Closest atoms and distances in Å follow each position.
Atoms (fractional coordinates):
Tm: 0.2496 0.8734 0.0836  6 S 2.69-2.73
Tm: 0.2496 0.3734 0.4164  6 S 2.69-2.73
Tm: 0.7504 0.6266 0.5836  6 S 2.69-2.73
Tm: 0.7504 0.1266 0.9164  6 S 2.69-2.73
U: 0.2512 0.8762 0.7498  6 S 2.72-2.76
U: 0.2512 0.3762 0.7502  6 S 2.72-2.76
U: 0.2493 0.8775 0.4166  6 S 2.72-2.73
U: 0.2493 0.3775 0.0834  6 S 2.72-2.73
U: 0.7507 0.6225 0.9166  6 S 2.72-2.73
U: 0.7507 0.1225 0.5834  6 S 2.72-2.73
U: 0.7488 0.6238 0.2498  6 S 2.72-2.76
U: 0.7488 0.1238 0.2502  6 S 2.72-2.76
S: 0.2504 0.6227 0.5811  3 Tm 2.70-2.73, 3 U 2.73-2.76
S: 0.2504 0.1227 0.9189  3 Tm 2.70-2.73, 3 U 2.73-2.76
S: 0.2507 0.6289 0.9177  1 Tm 2.69, 5 U 2.72-2.75
S: 0.2507 0.1289 0.5823  1 Tm 2.69, 5 U 2.72-2.75
S: 0.2487 0.6255 0.2516  2 Tm 2.72, 4 U 2.72-2.73
S: 0.2487 0.1255 0.2484  2 Tm 2.72, 4 U 2.72-2.73
S: 0.7513 0.8745 0.7516  2 Tm 2.72, 4 U 2.72-2.73
S: 0.7513 0.3745 0.7484  2 Tm 2.72, 4 U 2.72-2.73
S: 0.7493 0.8711 0.4177  1 Tm 2.69, 5 U 2.72-2.75
S: 0.7493 0.3711 0.0823  1 Tm 2.69, 5 U 2.72-2.75
S: 0.7496 0.8773 0.0811  3 Tm 2.70-2.73, 3 U 2.73-2.76
S: 0.7496 0.3773 0.4189  3 Tm 2.70-2.73, 3 U 2.73-2.76

# 4
# TmU3S4

Crystalline TmU3S4 at its relaxed geometry (GGA-PBE, Alexandria via LeMat-Bulk).

For the density of states at the Fermi level, the calculation gives 24.8 states/eV per cell. The crystal system is monoclinic. Its space group is P2/c (13).

Unit cell a=6.6141 b=6.7544 c=7.7158 alpha=90.00 beta=90.00 gamma=109.53
Closest atoms and distances in Å follow each position.
Atoms (fractional coordinates):
S: 0.9981 0.2470 0.6284  1 Tm 2.69, 5 U 2.72-2.75
S: 0.4992 0.2447 0.8767  2 Tm 2.70-2.71, 4 U 2.73-2.76
S: 0.4981 0.2470 0.3716  1 Tm 2.69, 5 U 2.72-2.75
S: 0.9992 0.2447 0.1233  2 Tm 2.70-2.71, 4 U 2.73-2.76
S: 0.0008 0.7553 0.8767  2 Tm 2.70-2.71, 4 U 2.73-2.76
S: 0.5019 0.7530 0.6284  1 Tm 2.69, 5 U 2.72-2.75
S: 0.5008 0.7553 0.1233  2 Tm 2.70-2.71, 4 U 2.73-2.76
S: 0.0019 0.7530 0.3716  1 Tm 2.69, 5 U 2.72-2.75
Tm: 0.7500 0.0000 0.8747  6 S 2.69-2.71
Tm: 0.2500 0.0000 0.1253  6 S 2.69-2.71
U: 0.7500 0.0000 0.3768  6 S 2.72-2.73
U: 0.2500 0.0000 0.6232  6 S 2.72-2.73
U: 0.7500 0.5000 0.6240  6 S 2.74-2.76
U: 0.7500 0.5000 0.1252  6 S 2.72-2.75
U: 0.2500 0.5000 0.3760  6 S 2.74-2.76
U: 0.2500 0.5000 0.8748  6 S 2.72-2.75

# 5
# TmU2S6

Crystalline TmU2S6 at its relaxed geometry (GGA-PBE, Alexandria via LeMat-Bulk).

The value obtained for the energy above the most stable polymorph in this dataset is 0.0 meV/atom. For the density of states at the Fermi level, the calculation gives 11.2 states/eV per cell. The crystal system is monoclinic. Its space group is C2/m (12).

Unit cell a=4.0038 b=8.0732 c=8.9056 alpha=103.79 beta=102.99 gamma=90.00
Closest atoms and distances in Å follow each position.
Atoms (fractional coordinates):
Tm: 0.5000 0.0000 0.0000  6 S 2.71-2.72
U: 0.8346 0.6770 0.6692  6 S 2.58-2.70
U: 0.1654 0.3230 0.3308  6 S 2.58-2.70
S: 0.3386 0.8956 0.6772  2 U 2.66, 1 Tm 2.72
S: 0.0121 0.2313 0.0242  1 U 2.58, 2 Tm 2.71
S: 0.6757 0.5500 0.3513  3 U 2.69-2.70
S: 0.9879 0.7687 0.9758  1 U 2.58, 2 Tm 2.71
S: 0.6614 0.1044 0.3228  2 U 2.66, 1 Tm 2.72
S: 0.3243 0.4500 0.6487  3 U 2.69-2.70

# 6
# Tm4US5

Crystalline Tm4US5 at its relaxed geometry (GGA-PBE, Alexandria via LeMat-Bulk).

For the density of states at the Fermi level, the calculation gives 9.0 states/eV per cell. The crystal system is tetragonal. Its space group is I4/mmm (139).

Unit cell a=3.8441 b=3.8441 c=13.8563 alpha=97.97 beta=97.97 gamma=90.00
Closest atoms and distances in Å follow each position.
Atoms (fractional coordinates):
Tm: 0.4009 0.4009 0.8019  6 S 2.69-2.76
Tm: 0.8015 0.8015 0.6030  6 S 2.65-2.74
Tm: 0.1985 0.1985 0.3970  6 S 2.65-2.74
Tm: 0.5991 0.5991 0.1981  6 S 2.69-2.76
U: 0.0000 0.0000 0.0000  6 S 2.72-2.74
S: 0.1008 0.1008 0.2017  5 Tm 2.65-2.72, 1 U 2.74
S: 0.5000 0.5000 0.0000  2 Tm 2.69, 4 U 2.72
S: 0.8992 0.8992 0.7983  5 Tm 2.65-2.72, 1 U 2.74
S: 0.2995 0.2995 0.5990  6 Tm 2.72-2.76
S: 0.7005 0.7005 0.4010  6 Tm 2.72-2.76

# 7
# Tm3U2S8

Crystalline Tm3U2S8 at its relaxed geometry (GGA-PBE, Alexandria via LeMat-Bulk).

For the density of states at the Fermi level, the calculation gives 9.6 states/eV per cell. The crystal system is monoclinic. Its space group is C2/m (12).

Unit cell a=6.5659 b=7.7788 c=7.9742 alpha=119.19 beta=107.09 gamma=90.00
Closest atoms and distances in Å follow each position.
Atoms (fractional coordinates):
Tm: 0.5000 0.0000 0.0000  6 S 2.69-2.70
Tm: 0.0000 0.2609 0.0000  6 S 2.65-2.73
Tm: 0.0000 0.7391 0.0000  6 S 2.65-2.73
U: 0.3346 0.2614 0.5228  6 S 2.70-2.80
U: 0.6654 0.7386 0.4772  6 S 2.70-2.80
S: 0.8975 0.6116 0.2232  2 Tm 2.65, 1 U 2.70
S: 0.1025 0.3884 0.7768  2 Tm 2.65, 1 U 2.70
S: 0.9234 0.1150 0.2299  3 Tm 2.70-2.73, 1 U 2.78
S: 0.0766 0.8850 0.7701  3 Tm 2.70-2.73, 1 U 2.78
S: 0.5863 0.6442 0.7520  2 Tm 2.69, 2 U 2.80
S: 0.5863 0.1078 0.7520  2 Tm 2.69, 2 U 2.80
S: 0.4138 0.8922 0.2480  2 Tm 2.69, 2 U 2.80
S: 0.4138 0.3558 0.2480  2 Tm 2.69, 2 U 2.80

# 8
# TmVS

Crystalline TmVS at its relaxed geometry (GGA-PBE, Alexandria via LeMat-Bulk).

For the density of states at the Fermi level, the calculation gives 4.0 states/eV per cell. The crystal system is orthorhombic. Its space group is Cmcm (63).

Unit cell a=4.0761 b=3.4765 c=8.1198 alpha=77.64 beta=90.00 gamma=90.00
Closest atoms and distances in Å follow each position.
Atoms (fractional coordinates):
V: 0.7500 0.4771 0.0459  2 V 2.16
V: 0.2500 0.5229 0.9541  2 V 2.16
S: 0.7500 0.3225 0.3549  1 V 2.45, 4 Tm 2.73
S: 0.2500 0.6775 0.6451  1 V 2.45, 4 Tm 2.73
Tm: 0.7500 0.1434 0.7131  5 S 2.73-2.84
Tm: 0.2500 0.8566 0.2869  5 S 2.73-2.84

Short version: total DFT energy (no corrections) = -8.242, -6.450, -8.120, -8.365, -7.255, -6.799, -7.011, -6.845 eV/atom, in the order given.
Short version: magnetization = 5.40, 0.00, 4.46, 7.00, 3.00, 2.12, 5.00, 0.00 μB per formula unit, in the order given.
Short version: formation energy from raw total energies = -1.23, -1.84, -1.55, -1.51, -1.50, -1.82, -1.70, -0.94 eV per atom, in the order given.